Entry from Alexandria via LeMat-Bulk: a relaxed structure of Hg5Os (PBE).

Results
ΔE to the lowest computed polymorph ... 105 meV per atom
Space group ... P-6m2, No. 187

a = 3.010 Å, b = 3.010 Å, c = 17.056 Å
α = 90.00°, β = 90.00°, γ = 120.00°
Positions (direct):
Hg (0.000, 0.000, 0.000)
Hg (0.000, 0.000, 0.362)
Hg (0.000, 0.000, 0.638)
Hg (0.667, 0.333, 0.186)
Hg (0.667, 0.333, 0.814)
Os (0.667, 0.333, 0.500)

Entry from Alexandria via LeMat-Bulk: a relaxed structure of Hg4Os (PBE).

Results
Space group ... I4/mmm, No. 139

a = 8.575 Å, b = 8.575 Å, c = 8.575 Å
α = 154.50°, β = 154.50°, γ = 36.37°
Positions (direct):
Hg (0.085, 0.085, 0.000)
Hg (0.250, 0.750, 0.500)
Hg (0.750, 0.250, 0.500)
Hg (0.915, 0.915, 0.000)
Os (0.500, 0.500, 0.000)

Entry from Alexandria via LeMat-Bulk: a relaxed structure of HgOs (PBE).

Results
ΔE to the lowest computed polymorph ... 600 meV per atom
Space group ... P-6m2, No. 187

a = 2.880 Å, b = 2.880 Å, c = 4.808 Å
α = 90.00°, β = 90.00°, γ = 120.00°
Positions (direct):
Hg (0.000, 0.000, 0.000)
Os (0.667, 0.333, 0.500)

Entry from Alexandria via LeMat-Bulk: a relaxed structure of HgOs (PBE).

Results
ΔE to the lowest computed polymorph ... 1133 meV per atom
Space group ... I-43m, No. 217

a = 7.236 Å, b = 7.236 Å, c = 7.236 Å
α = 109.47°, β = 109.47°, γ = 109.47°
Positions (direct):
Hg (0.000, 0.000, 0.422)
Hg (0.000, 0.422, 0.000)
Hg (0.422, 0.000, 0.000)
Hg (0.578, 0.578, 0.578)
Os (0.000, 0.000, 0.790)
Os (0.000, 0.790, 0.000)
Os (0.210, 0.210, 0.210)
Os (0.790, 0.000, 0.000)

Entry from Alexandria via LeMat-Bulk: a relaxed structure of Hg5Os4 (PBE).

Results
ΔE to the lowest computed polymorph ... 468 meV per atom
Space group ... P6_3/mcm, No. 193

a = 8.179 Å, b = 8.179 Å, c = 5.605 Å
α = 90.00°, β = 90.00°, γ = 120.00°
Positions (direct):
Hg (0.000, 0.312, 0.250)
Hg (0.000, 0.688, 0.750)
Hg (0.312, 0.000, 0.250)
Hg (0.312, 0.312, 0.750)
Hg (0.333, 0.667, 0.000)
Hg (0.333, 0.667, 0.500)
Hg (0.667, 0.333, 0.000)
Hg (0.667, 0.333, 0.500)
Hg (0.688, 0.000, 0.750)
Hg (0.688, 0.688, 0.250)
Os (0.000, 0.000, 0.000)
Os (0.000, 0.000, 0.500)
Os (0.000, 0.346, 0.750)
Os (0.000, 0.654, 0.250)
Os (0.346, 0.000, 0.750)
Os (0.346, 0.346, 0.250)
Os (0.654, 0.000, 0.250)
Os (0.654, 0.654, 0.750)

Entry from Alexandria via LeMat-Bulk: a relaxed structure of HgOs (PBE).

Results
ΔE to the lowest computed polymorph ... 293 meV per atom
Space group ... Amm2, No. 38

a = 2.846 Å, b = 7.027 Å, c = 7.027 Å
α = 121.02°, β = 90.00°, γ = 90.00°
Positions (direct):
Hg (0.000, 0.000, 0.000)
Hg (0.500, 0.100, 0.582)
Hg (0.500, 0.582, 0.100)
Os (0.000, 0.518, 0.717)
Os (0.000, 0.717, 0.518)
Os (0.500, 0.360, 0.360)

Entry from Alexandria via LeMat-Bulk: a relaxed structure of HgOs (PBE).

Results
ΔE to the lowest computed polymorph ... 429 meV per atom
Space group ... Pmma, No. 51

a = 3.679 Å, b = 2.740 Å, c = 8.142 Å
α = 90.00°, β = 90.00°, γ = 90.00°
Positions (direct):
Hg (0.250, 0.000, 0.155)
Hg (0.750, 0.000, 0.845)
Os (0.250, 0.500, 0.590)
Os (0.750, 0.500, 0.410)

Entry from Alexandria via LeMat-Bulk: a relaxed structure of HgOs7 (PBE).

Results
Space group ... Fm-3m, No. 225

a = 5.534 Å, b = 5.534 Å, c = 5.534 Å
α = 60.00°, β = 60.00°, γ = 60.00°
Positions (direct):
Hg (0.000, 0.000, 0.000)
Os (0.000, 0.000, 0.500)
Os (0.000, 0.500, 0.000)
Os (0.000, 0.500, 0.500)
Os (0.500, 0.000, 0.000)
Os (0.500, 0.000, 0.500)
Os (0.500, 0.500, 0.000)
Os (0.500, 0.500, 0.500)

Entry from Alexandria via LeMat-Bulk: a relaxed structure of HgOs (PBE).

Results
ΔE to the lowest computed polymorph ... 2109 meV per atom
Space group ... Pm-3n, No. 223

a = 7.469 Å, b = 7.469 Å, c = 7.469 Å
α = 90.00°, β = 90.00°, γ = 90.00°
Positions (direct):
Hg (0.000, 0.250, 0.500)
Hg (0.000, 0.750, 0.500)
Hg (0.250, 0.500, 0.000)
Hg (0.500, 0.000, 0.250)
Hg (0.500, 0.000, 0.750)
Hg (0.750, 0.500, 0.000)
Os (0.000, 0.500, 0.250)
Os (0.000, 0.500, 0.750)
Os (0.250, 0.000, 0.500)
Os (0.500, 0.250, 0.000)
Os (0.500, 0.750, 0.000)
Os (0.750, 0.000, 0.500)

Entry from Alexandria via LeMat-Bulk: a relaxed structure of Hg3Os (PBE).

Results
ΔE to the lowest computed polymorph ... 392 meV per atom
Space group ... Pm-3n, No. 223

a = 5.465 Å, b = 5.465 Å, c = 5.465 Å
α = 90.00°, β = 90.00°, γ = 90.00°
Positions (direct):
Hg (0.000, 0.250, 0.500)
Hg (0.000, 0.750, 0.500)
Hg (0.250, 0.500, 0.000)
Hg (0.500, 0.000, 0.250)
Hg (0.500, 0.000, 0.750)
Hg (0.750, 0.500, 0.000)
Os (0.000, 0.000, 0.000)
Os (0.500, 0.500, 0.500)

Entry from Alexandria via LeMat-Bulk: a relaxed structure of Hg4POs (PBE).

Results
Space group ... F-43m, No. 216

a = 5.612 Å, b = 5.612 Å, c = 5.612 Å
α = 60.00°, β = 60.00°, γ = 60.00°
Positions (direct):
Hg (0.125, 0.125, 0.125)
Hg (0.125, 0.125, 0.626)
Hg (0.125, 0.626, 0.125)
Hg (0.626, 0.125, 0.125)
P (0.500, 0.500, 0.500)
Os (0.750, 0.750, 0.750)

Entry from Alexandria via LeMat-Bulk: a relaxed structure of HgPOs3 (PBE).

Results
ΔE to the lowest computed polymorph ... 2479 meV per atom
Space group ... Pm-3m, No. 221

a = 4.951 Å, b = 4.951 Å, c = 4.951 Å
α = 90.00°, β = 90.00°, γ = 90.00°
Positions (direct):
Hg (0.000, 0.000, 0.000)
P (0.500, 0.500, 0.500)
Os (0.000, 0.000, 0.500)
Os (0.000, 0.500, 0.000)
Os (0.500, 0.000, 0.000)

| no. | energy relative to the elements (eV/atom) |
| --- | --- |
| 1 | 0.4956 |
| 2 | 1.0328 |
| 3 | 1.0007 |
| 4 | 1.5335 |
| 5 | 1.2538 |
| 6 | 0.6929 |
| 7 | 0.8290 |
| 8 | 0.6451 |
| 9 | 2.5094 |
| 10 | 0.9931 |
| 11 | 1.2013 |
| 12 | 3.4852 |